An optimized crystal structure of Pu2GeB2Rh5. Source: Alexandria, functional PBE-GGA.

Lattice parameters (Å, degrees): 9.489 9.489 3.261 90.00 90.00 90.00
Space group P4/mbm (No. 127)
Symmetry-distinct sites (fractional):
Pu 0.176 0.324 0.000 x4
Ge 0.000 0.000 0.000 x2
B 0.122 0.622 0.000 x4
Rh 0.000 0.500 0.500 x2
Rh 0.069 0.781 0.500 x8

**Calculated volume**: 293.6 Å³/cell
**Crystal system**: tetragonal
**E_form**: -537 meV per atom
**Total DFT energy (no corrections)**: -88.76 eV per formula unit